Te2AsIN | PBE | relaxed

## Properties
total moment: 0.002 μB per formula unit
polymorph energy (0 for the lowest one): 0.000 eV/atom
total energy: -16.6 eV per cell
density of states at the Fermi level: 6.0 states/eV per cell

Lattice parameters (Å, degrees): 5.9921 5.9921 3.6295 90.00 90.00 90.00
Closest atoms and distances in Å follow each position.
Fractional coordinates of all 5 atoms:
Te: 0.0000 0.5000 0.0000  2 As 3.00
Te: 0.5000 0.0000 0.0000  2 As 3.00
As: 0.0000 0.0000 0.0000  2 N 1.81
I: 0.5000 0.5000 0.5000  8 Te 3.50, 2 I 3.63
N: 0.0000 0.0000 0.5000  2 As 1.81